1.
DyPaCo10: optimized geometry, GGA-PBE.

Calculated values
**Total magnetization**: 12.13 μB per cell
**SG**: Pmmm (47)
**Energy of formation from the pure elements**: -1.8 eV per formula unit

abc: 4.0012 4.8518 8.4304
angles: 90.00 90.00 90.00
Sites, in units of the cell vectors:
Dy: 0.0000 0.0000 0.0000
Pa: 0.0000 0.5000 0.5000
Co: 0.0000 0.0000 0.3414
Co: 0.0000 0.0000 0.6586
Co: 0.0000 0.5000 0.1878
Co: 0.0000 0.5000 0.8122
Co: 0.5000 0.0000 0.5000
Co: 0.5000 0.2445 0.2466
Co: 0.5000 0.2445 0.7534
Co: 0.5000 0.5000 0.0000
Co: 0.5000 0.7555 0.2466
Co: 0.5000 0.7555 0.7534

2.
Cd2Bi2O: optimized geometry, GGA-PBE.

Calculated values
**Total magnetization**: 0.00 μB per cell
**Relative energy among the computed polymorphs**: 0.0 kJ/mol of atoms
**SG**: P4/mbm (127)
**Formation energy (no corrections)**: -132.9 meV/atom

abc: 6.7350 6.7350 5.5613
angles: 90.00 90.00 90.00
Sites, in units of the cell vectors:
Cd: 0.1597 0.3403 0.0000
Cd: 0.3403 0.8403 0.0000
Cd: 0.6597 0.1597 0.0000
Cd: 0.8403 0.6597 0.0000
Bi: 0.1936 0.6936 0.5000
Bi: 0.3064 0.1936 0.5000
Bi: 0.6936 0.8064 0.5000
Bi: 0.8064 0.3064 0.5000
O: 0.0000 0.0000 0.5000
O: 0.5000 0.5000 0.5000

3.
MnAs3W: optimized geometry, GGA-PBE.

Calculated values
**Total magnetization**: 4.67 μB per cell
**Relative energy among the computed polymorphs**: 0.0 kJ/mol of atoms
**SG**: Pm-3m (221)
**Energy of formation from the pure elements**: 3.8 eV per formula unit

abc: 4.9066 4.9066 4.9066
angles: 90.00 90.00 90.00
Sites, in units of the cell vectors:
Mn: 0.0000 0.0000 0.0000
As: 0.0000 0.5000 0.5000
As: 0.5000 0.0000 0.5000
As: 0.5000 0.5000 0.0000
W: 0.5000 0.5000 0.5000

4.
KNbAg2: optimized geometry, GGA-PBE.

Calculated values
**Total magnetization**: 6.79 μB per cell
**Relative energy among the computed polymorphs**: 10.0 kJ/mol of atoms
**SG**: I-42d (122)
**Energy of formation from the pure elements**: 4.1 eV per formula unit

abc: 6.6097 6.6097 6.6097
angles: 104.21 104.21 120.60
Sites, in units of the cell vectors:
K: 0.0000 0.0000 0.0000
K: 0.7500 0.2500 0.5000
Nb: 0.2500 0.7500 0.5000
Nb: 0.5000 0.5000 0.0000
Ag: 0.1635 0.6250 0.0385
Ag: 0.3750 0.4135 0.5385
Ag: 0.5865 0.1250 0.9615
Ag: 0.8750 0.8365 0.4615

5.
In3SiRh: optimized geometry, GGA-PBE.

Calculated values
**Total magnetization**: 0.00 μB per cell
**Relative energy among the computed polymorphs**: 50.8 kJ/mol of atoms
**SG**: Pm-3m (221)
**Formation energy (no corrections)**: 842.6 meV/atom

abc: 5.0648 5.0648 5.0648
angles: 90.00 90.00 90.00
Sites, in units of the cell vectors:
In: 0.0000 0.0000 0.5000
In: 0.0000 0.5000 0.0000
In: 0.5000 0.0000 0.0000
Si: 0.0000 0.0000 0.0000
Rh: 0.5000 0.5000 0.5000

6.
TlVS: optimized geometry, GGA-PBE.

Calculated values
**Total magnetization**: 2.82 μB per cell
**SG**: Fddd (70)
**Formation energy (no corrections)**: -30.5 meV/atom

abc: 11.4439 10.6511 5.2842
angles: 84.70 67.93 27.37
Sites, in units of the cell vectors:
Tl: 0.0272 0.7228 0.0272
Tl: 0.2772 0.9728 0.2772
Tl: 0.7228 0.0272 0.7228
Tl: 0.9728 0.2772 0.9728
V: 0.0040 0.0040 0.7460
V: 0.2540 0.2540 0.9960
V: 0.7460 0.7460 0.0040
V: 0.9960 0.9960 0.2540
S: 0.2849 0.2849 0.4651
S: 0.4651 0.4651 0.2849
S: 0.5349 0.5349 0.7151
S: 0.7151 0.7151 0.5349

7.
Ti2ZnN: optimized geometry, GGA-PBE.

Calculated values
**Total magnetization**: 0.00 μB per cell
**Relative energy among the computed polymorphs**: 135.8 kJ/mol of atoms
**SG**: Fm-3m (225)
**Formation energy (no corrections)**: 346.0 meV/atom

abc: 4.1824 4.1824 4.1824
angles: 60.00 60.00 60.00
Sites, in units of the cell vectors:
Ti: 0.2500 0.2500 0.2500
Ti: 0.7500 0.7500 0.7500
Zn: 0.0000 0.0000 0.0000
N: 0.5000 0.5000 0.5000

8.
Mg2ZrTa: optimized geometry, GGA-PBE.

Calculated values
**Total magnetization**: 0.00 μB per cell
**Relative energy among the computed polymorphs**: 28.9 kJ/mol of atoms
**SG**: Fm-3m (225)
**Energy of formation from the pure elements**: 1.6 eV per formula unit

abc: 4.8477 4.8477 4.8477
angles: 60.00 60.00 60.00
Sites, in units of the cell vectors:
Mg: 0.2500 0.2500 0.2500
Mg: 0.7500 0.7500 0.7500
Zr: 0.0000 0.0000 0.0000
Ta: 0.5000 0.5000 0.5000